1.
{
  "formula": "FeNi2",
  "functional": "GGA-PBE",
  "state": "relaxed",
  "lattice_angstrom": [[-2.899, 0.108, -2.490], [0.055, -3.816, -0.229], [-1.810, -0.152, 2.101]],
  "species": ["Ni", "Ni", "Fe"],
  "frac_coords": [[0.500, 0.000, 0.500], [0.000, 0.500, 0.500], [0.000, 0.000, 0.000]],
  "ef_mev_per_atom": 447,
  "final_energy_ev_per_cell": -18.685,
  "spacegroup": "P4/mmm, No. 123"
}

***

2.
{
  "formula": "Cd2NiHg2",
  "functional": "GGA-PBE",
  "state": "relaxed",
  "lattice_angstrom": [[6.931, 0.000, 0.000], [0.000, 6.931, 0.000], [0.000, 0.000, 4.658]],
  "species": ["Hg", "Hg", "Hg", "Hg", "Cd", "Cd", "Cd", "Cd", "Ni", "Ni"],
  "frac_coords": [[0.163, 0.663, 0.500], [0.337, 0.163, 0.500], [0.837, 0.337, 0.500], [0.663, 0.837, 0.500], [0.844, 0.656, 0.000], [0.156, 0.344, 0.000], [0.656, 0.156, 0.000], [0.344, 0.844, 0.000], [0.500, 0.500, 0.000], [0.000, 0.000, 0.000]],
  "relative_energy_mev_per_atom": 34,
  "ef_mev_per_atom": 299,
  "final_energy_ev_per_cell": -13.435,
  "spacegroup": "P4/mbm, No. 127"
}

***

3.
{
  "formula": "SmEuScHg",
  "functional": "GGA-PBE",
  "state": "relaxed",
  "lattice_angstrom": [[5.352, 0.000, 0.000], [2.676, 4.635, 0.000], [2.676, 1.545, 4.370]],
  "species": ["Hg", "Sc", "Eu", "Sm"],
  "frac_coords": [[0.000, 0.000, 0.000], [0.750, 0.750, 0.750], [0.500, 0.500, 0.500], [0.250, 0.250, 0.250]],
  "ef_mev_per_atom": -25,
  "final_energy_ev_per_cell": -21.727,
  "spacegroup": "F-43m, No. 216"
}